PBE Pr3Sm12Tl, relaxed; energy relative to the elements = -0.03 eV per atom; SG = P4/mmm (123)
1.0
5.081 0.000 0.000
0.000 5.081 0.000
0.000 0.000 20.688
Sm Pr Tl
12 3 1
Cartesian
2.540 0.000 7.721
0.000 2.540 18.210
0.000 2.540 2.478
2.540 2.540 5.047
2.540 2.540 10.344
2.540 2.540 0.000
2.540 0.000 18.210
2.540 0.000 2.478
2.540 2.540 15.641
0.000 2.540 12.967
2.540 0.000 12.967
0.000 2.540 7.721
0.000 0.000 5.119
0.000 0.000 15.569
0.000 0.000 10.344
0.000 0.000 0.000

=====

PBE ZrMnNi, relaxed; energy relative to the elements = 0.10 eV per atom; SG = F-43m (216)
1.0
-3.394 -0.103 2.525
-3.143 -2.720 -0.790
-0.630 -3.307 2.563
Mn Ni Zr
1 1 1
Cartesian
-3.584 -3.065 2.149
-5.375 -4.597 3.224
0.000 0.000 0.000

=====

PBE HfNb3V, relaxed; energy relative to the elements = 1.81 eV per atom; SG = Pm-3m (221)
1.0
4.913 0.000 0.000
0.000 4.913 0.000
0.000 0.000 4.913
Hf Nb V
1 3 1
Cartesian
0.000 0.000 0.000
0.000 0.000 2.457
2.457 0.000 0.000
0.000 2.457 0.000
2.457 2.457 2.457

=====

PBE HfPbO3, relaxed; ΔE_f (raw) = -2.477 eV per atom; SG = P2_1/m (11)
1.0
6.601 0.000 -1.095
0.000 6.275 0.000
-5.229 0.000 4.915
O Pb Hf
6 2 2
Cartesian
1.953 0.155 -0.093
-2.574 1.569 2.489
-0.581 3.292 3.913
3.946 4.706 1.330
1.953 2.983 -0.093
-0.581 6.120 3.913
1.935 1.569 2.323
-0.563 4.706 1.497
-2.275 4.706 4.420
3.648 1.569 -0.601

=====

PBE BiBPt3, relaxed; energy relative to the elements = -0.21 eV per atom; SG = Imma (74)
1.0
5.828 0.000 0.000
0.001 5.647 0.000
2.914 2.822 5.152
Bi Pt B
2 6 2
Cartesian
5.721 6.899 2.763
2.807 6.898 3.890
1.403 2.663 0.749
4.265 4.075 3.326
1.403 5.487 0.750
4.211 5.487 0.751
7.179 4.074 3.326
4.210 2.663 0.749
2.807 4.075 1.659
5.721 4.074 4.993

=====

PBE PaSn2Pd6, relaxed; energy relative to the elements = -0.40 eV per atom; SG = C2/m (12)
1.0
5.196 -0.023 -0.013
0.030 6.212 0.007
0.030 3.101 5.383
Pd Sn Pa
6 2 1
Cartesian
3.551 3.090 3.376
1.705 6.200 2.001
1.719 7.568 4.380
3.551 4.466 0.998
1.705 4.824 4.379
3.537 1.722 0.997
4.381 6.195 3.585
0.875 3.096 1.792
0.000 0.000 0.000

=====

What did we get for total DFT energy (no corrections)? Answer: -4.609; -7.728; -8.051; -8.184; -5.946; -5.802 eV per atom, in the order shown.